[1]
The following is a PBE calculation of a relaxed structure of Sr12TlCd6, from the Alexandria database.

Geometry as extended XYZ:
```
19
Lattice="9.401 0.000 -3.324 -4.700 8.141 -3.324 0.000 0.000 9.971" Properties=species:S:1:pos:R:3 pbc="T T T"
Sr 2.204 0.833 6.854
Sr 0.481 3.818 -0.680
Sr 4.220 4.323 4.003
Sr 2.496 7.309 -3.530
Sr -2.877 6.649 -0.206
Sr 3.547 1.493 0.680
Sr 1.154 6.649 2.644
Sr 7.578 1.493 3.530
Sr 6.335 2.325 -2.644
Sr 0.381 2.325 3.117
Sr 4.319 5.816 0.206
Sr -1.634 5.816 5.968
Tl 0.000 0.000 0.000
Cd 1.144 4.071 5.795
Cd 3.556 4.071 -2.471
Cd 0.603 7.097 -0.853
Cd 4.097 1.044 4.176
Cd 6.448 3.026 0.853
Cd -1.747 5.115 2.471
```

Computed properties:
- ΔE_f: -4.99 kcal/mol of atoms
- Density: 4.20 g cm⁻³
- Final energy: -1.6920 eV per atom

***

[2]
The following is a PBE calculation of a relaxed structure of Sr6TlCd23, from the Alexandria database.

Geometry as extended XYZ:
```
30
Lattice="-3.727 -2.156 9.437 3.768 -8.048 5.350 5.868 1.643 8.394" Properties=species:S:1:pos:R:3 pbc="T T T"
Sr 1.627 -6.978 13.047
Sr 4.282 -1.582 10.134
Sr -0.089 -3.312 10.609
Sr 5.998 -5.248 12.571
Sr 2.584 -2.564 14.433
Sr 3.325 -5.996 8.748
Tl 2.955 -4.280 11.590
Cd -1.102 -2.148 7.600
Cd 7.011 -6.412 15.581
Cd 3.653 -0.265 7.083
Cd 0.745 -1.080 2.923
Cd 2.256 -8.295 16.098
Cd 5.164 -7.481 20.257
Cd 2.612 -5.068 5.575
Cd 3.297 -3.493 17.606
Cd 0.020 -5.102 7.394
Cd 2.934 0.822 4.197
Cd -1.864 -1.078 4.718
Cd 4.818 -3.202 6.872
Cd 1.071 -0.256 8.915
Cd 1.884 -4.024 2.675
Cd -0.451 -4.290 13.974
Cd 6.360 -4.270 9.207
Cd 5.828 -1.804 13.291
Cd 1.988 -2.880 7.798
Cd 0.081 -6.756 9.890
Cd 3.921 -5.681 15.383
Cd 4.454 -8.146 11.299
Cd 1.456 -0.414 11.881
Cd 0.000 0.000 0.000
```

Computed properties:
- ΔE_f: -5.39 kcal/mol of atoms
- Density: 6.98 g cm⁻³
- Final energy: -1.3507 eV per atom

***

[3]
The following is a PBE calculation of a relaxed structure of SrTlCd6, from the Alexandria database.

Geometry as extended XYZ:
```
8
Lattice="-0.700 1.626 4.733 0.513 -6.194 2.204 6.071 2.575 0.013" Properties=species:S:1:pos:R:3 pbc="T T T"
Sr 5.301 1.361 0.316
Tl 3.657 0.130 3.193
Cd 2.099 0.641 0.090
Cd 6.173 -1.598 1.462
Cd 2.968 -2.321 1.236
Cd 0.790 -1.606 3.366
Cd 3.410 -3.047 4.248
Cd 0.543 -4.782 4.421
```

Computed properties:
- ΔE_f: -2.62 kcal/mol of atoms
- Polymorph energy (0 for the lowest one): 0.00 eV/f.u.
- Density: 7.64 g cm⁻³
- Final energy: -1.3058 eV per atom

***

[4]
The following is a PBE calculation of a relaxed structure of Sr2TlCd7, from the Alexandria database.

Geometry as extended XYZ:
```
10
Lattice="4.693 0.000 0.000 0.000 4.693 0.000 0.000 0.000 12.733" Properties=species:S:1:pos:R:3 pbc="T T T"
Sr 2.347 0.000 9.532
Sr 0.000 2.347 3.202
Tl 2.347 2.347 0.000
Cd 0.000 2.347 10.916
Cd 2.347 0.000 4.610
Cd 2.347 0.000 1.817
Cd 0.000 2.347 8.123
Cd 0.000 0.000 6.367
Cd 0.000 0.000 0.000
Cd 2.347 2.347 6.367
```

Computed properties:
- ΔE_f: -5.41 kcal/mol of atoms
- Density: 6.91 g cm⁻³
- Final energy: -1.4482 eV per atom

***

[5]
The following is a PBE calculation of a relaxed structure of SrTl2Cd10, from the Alexandria database.

Geometry as extended XYZ:
```
13
Lattice="-6.300 0.496 -1.016 -4.195 -6.184 2.833 -3.895 3.624 5.758" Properties=species:S:1:pos:R:3 pbc="T T T"
Sr 0.000 0.000 0.000
Tl -2.098 -3.092 1.416
Tl -5.247 -2.844 0.908
Cd -7.455 -1.595 5.125
Cd -6.935 -0.470 2.450
Cd -3.979 0.162 4.591
Cd -10.411 -2.227 2.983
Cd -1.948 1.812 2.879
Cd -5.097 2.060 2.371
Cd -3.525 -0.339 1.534
Cd -10.865 -1.726 6.041
Cd -7.292 -3.887 2.997
Cd -7.098 1.822 4.577
```

Computed properties:
- ΔE_f: -1.22 kcal/mol of atoms
- Density: 8.02 g cm⁻³
- Final energy: -1.2502 eV per atom

***

[6]
The following is a PBE calculation of a relaxed structure of SrTl2Cd3, from the Alexandria database.

Geometry as extended XYZ:
```
12
Lattice="-1.728 -4.475 -1.173 5.030 2.972 -8.354 4.219 -3.130 5.721" Properties=species:S:1:pos:R:3 pbc="T T T"
Sr 6.292 -4.617 -2.055
Sr 1.228 -0.015 -1.751
Tl 7.276 -1.720 -4.159
Tl 0.244 -2.912 0.353
Tl 2.055 -2.418 -4.198
Tl 5.465 -2.214 0.393
Cd 4.692 -1.189 -2.378
Cd 4.915 -3.244 -5.261
Cd 3.319 -4.368 1.376
Cd 4.201 -0.264 -5.182
Cd 2.605 -1.388 1.455
Cd 2.828 -3.443 -1.427
```

Computed properties:
- ΔE_f: -4.04 kcal/mol of atoms
- Polymorph energy (0 for the lowest one): 0.00 eV/f.u.
- Density: 8.25 g cm⁻³
- Final energy: -1.7020 eV per atom

***

[7]
The following is a PBE calculation of a relaxed structure of SrTl4Cd, from the Alexandria database.

Geometry as extended XYZ:
```
6
Lattice="1.770 3.404 5.231 -4.410 3.465 3.260 -1.902 -1.902 5.904" Properties=species:S:1:pos:R:3 pbc="T T T"
Sr 0.000 0.000 0.000
Tl -0.822 3.562 8.012
Tl -2.653 0.916 8.347
Tl -3.904 3.593 7.028
Tl -1.705 1.865 5.403
Cd -3.407 3.726 10.796
```

Computed properties:
- ΔE_f: -1.36 kcal/mol of atoms
- Polymorph energy (0 for the lowest one): 0.56 eV/f.u.
- Density: 8.75 g cm⁻³
- Final energy: -2.0694 eV per atom

***

[8]
The following is a PBE calculation of a relaxed structure of Sr2TlCd, from the Alexandria database.

Geometry as extended XYZ:
```
4
Lattice="-0.275 0.246 6.566 1.693 -3.094 5.550 4.968 2.321 1.994" Properties=species:S:1:pos:R:3 pbc="T T T"
Sr 4.755 2.141 2.174
Sr 1.806 0.043 3.360
Tl 3.077 -0.226 6.708
Cd 4.911 -0.425 10.917
```

Computed properties:
- ΔE_f: -6.91 kcal/mol of atoms
- Density: 5.92 g cm⁻³
- Final energy: -1.9610 eV per atom

***

Question: final energy of number 8 (Sr2TlCd)?
Answer: -1.9610 eV per atom